Density functional theory data (PBE) for a relaxed structure of TiSI2.

Summary:
- spin magnetization (μB/atom) = 0.0000
- offset from the most stable computed form (meV/atom) = 971
- density (g/cm3) = 4.3
- formation energy without anion corrections (eV per atom) = 0.2935

a b c (Å): 7.016 7.016 7.016
angles (deg): 116.57 116.57 96.05
Fractional coordinates of all 8 atoms:
Ti 0.000 0.000 0.000
Ti 0.750 0.250 0.500
S 0.250 0.750 0.500
S 0.500 0.500 0.000
I 0.083 0.125 0.458
I 0.375 0.917 0.042
I 0.667 0.625 0.542
I 0.875 0.333 0.958

Density functional theory data (PBE) for a relaxed structure of TiSI.

Summary:
- spin magnetization (μB/atom) = 0.0000
- density (g/cm3) = 4.0
- formation energy without anion corrections (eV per atom) = -1.1374

a b c (Å): 9.863 9.863 4.798
angles (deg): 90.09 90.09 21.54
Fractional coordinates of all 6 atoms:
Ti 0.211 0.211 0.250
Ti 0.789 0.789 0.750
S 0.204 0.204 0.750
S 0.796 0.796 0.250
I 0.400 0.400 0.751
I 0.600 0.600 0.249

Density functional theory data (PBE) for a relaxed structure of TiS8I2.

Summary:
- spin magnetization (μB/atom) = 0.0000
- density (g/cm3) = 2.4
- formation energy without anion corrections (eV per atom) = -0.1473

a b c (Å): 5.842 7.981 8.625
angles (deg): 92.20 93.75 101.54
Fractional coordinates of all 11 atoms:
Ti 0.000 0.000 0.000
S 0.019 0.713 0.900
S 0.088 0.141 0.758
S 0.222 0.314 0.934
S 0.430 0.048 0.089
S 0.570 0.952 0.911
S 0.778 0.686 0.066
S 0.912 0.859 0.242
S 0.981 0.287 0.100
I 0.340 0.434 0.375
I 0.660 0.566 0.625

Density functional theory data (PBE) for a relaxed structure of TiSI2.

Summary:
- spin magnetization (μB/atom) = 0.0000
- offset from the most stable computed form (meV/atom) = 0
- density (g/cm3) = 4.6
- formation energy without anion corrections (eV per atom) = -0.6773

a b c (Å): 4.618 4.618 8.325
angles (deg): 105.53 105.53 45.20
Fractional coordinates of all 4 atoms:
Ti 0.000 0.000 0.000
S 0.699 0.699 0.000
I 0.352 0.352 0.724
I 0.508 0.508 0.276

Density functional theory data (PBE) for a relaxed structure of TiS6I2.

Summary:
- spin magnetization (μB/atom) = 0.2188
- density (g/cm3) = 2.9
- formation energy without anion corrections (eV per atom) = -0.1507

a b c (Å): 3.837 7.521 10.185
angles (deg): 106.09 96.20 90.10
Fractional coordinates of all 9 atoms:
Ti 0.000 0.000 0.000
S 0.417 0.391 0.518
S 0.470 0.784 0.901
S 0.475 0.510 0.897
S 0.525 0.490 0.103
S 0.530 0.216 0.099
S 0.583 0.609 0.482
I 0.065 0.907 0.235
I 0.935 0.093 0.765

Density functional theory data (PBE) for a relaxed structure of Ti2SI.

Summary:
- spin magnetization (μB/atom) = 0.2187
- offset from the most stable computed form (meV/atom) = 20
- density (g/cm3) = 6.0
- formation energy without anion corrections (eV per atom) = -0.2923

a b c (Å): 4.629 4.629 4.629
angles (deg): 60.00 60.00 60.00
Fractional coordinates of all 4 atoms:
Ti 0.250 0.250 0.250
Ti 0.750 0.750 0.750
S 0.000 0.000 0.000
I 0.500 0.500 0.500

Density functional theory data (PBE) for a relaxed structure of TiSI.

Summary:
- spin magnetization (μB/atom) = 0.3343
- density (g/cm3) = 4.2
- formation energy without anion corrections (eV per atom) = -0.9608

a b c (Å): 11.313 11.313 11.313
angles (deg): 20.99 20.99 20.99
Fractional coordinates of all 6 atoms:
Ti 0.120 0.120 0.120
Ti 0.880 0.880 0.880
S 0.195 0.195 0.195
S 0.805 0.805 0.805
I 0.395 0.395 0.395
I 0.605 0.605 0.605

Density functional theory data (PBE) for a relaxed structure of TiSI2.

Summary:
- spin magnetization (μB/atom) = 0.0000
- offset from the most stable computed form (meV/atom) = 970
- density (g/cm3) = 6.0
- formation energy without anion corrections (eV per atom) = 0.2929

a b c (Å): 5.063 5.063 5.063
angles (deg): 60.00 60.00 60.00
Fractional coordinates of all 4 atoms:
Ti 0.000 0.000 0.000
S 0.500 0.500 0.500
I 0.250 0.250 0.250
I 0.750 0.750 0.750

Density functional theory data (PBE) for a relaxed structure of TiS3I.

Summary:
- spin magnetization (μB/atom) = 0.3637
- offset from the most stable computed form (meV/atom) = 1467
- density (g/cm3) = 3.5
- formation energy without anion corrections (eV per atom) = 0.8977

a b c (Å): 5.052 5.052 5.052
angles (deg): 90.00 90.00 90.00
Fractional coordinates of all 5 atoms:
Ti 0.000 0.000 0.000
S 0.000 0.500 0.500
S 0.500 0.000 0.500
S 0.500 0.500 0.000
I 0.500 0.500 0.500

Density functional theory data (PBE) for a relaxed structure of TiS3I.

Summary:
- spin magnetization (μB/atom) = 0.0000
- offset from the most stable computed form (meV/atom) = 387
- density (g/cm3) = 4.1
- formation energy without anion corrections (eV per atom) = -0.1826

a b c (Å): 4.772 4.772 4.772
angles (deg): 90.00 90.00 90.00
Fractional coordinates of all 5 atoms:
Ti 0.000 0.000 0.000
S 0.000 0.000 0.500
S 0.000 0.500 0.000
S 0.500 0.000 0.000
I 0.500 0.500 0.500

Density functional theory data (PBE) for a relaxed structure of TiS3I.

Summary:
- spin magnetization (μB/atom) = 0.0000
- offset from the most stable computed form (meV/atom) = 0
- density (g/cm3) = 3.2
- formation energy without anion corrections (eV per atom) = -0.5694

a b c (Å): 3.343 9.013 10.200
angles (deg): 110.80 97.48 95.12
Fractional coordinates of all 10 atoms:
Ti 0.217 0.054 0.383
Ti 0.783 0.946 0.617
S 0.184 0.819 0.445
S 0.397 0.099 0.809
S 0.476 0.334 0.862
S 0.524 0.666 0.138
S 0.603 0.901 0.191
S 0.816 0.181 0.555
I 0.227 0.287 0.270
I 0.773 0.713 0.730

Density functional theory data (PBE) for a relaxed structure of Ti2SI.

Summary:
- spin magnetization (μB/atom) = 0.5769
- offset from the most stable computed form (meV/atom) = 0
- density (g/cm3) = 4.3
- formation energy without anion corrections (eV per atom) = -0.3123

a b c (Å): 8.035 8.035 8.035
angles (deg): 141.93 141.93 54.93
Fractional coordinates of all 8 atoms:
Ti 0.036 0.625 0.911
Ti 0.375 0.286 0.411
Ti 0.714 0.125 0.089
Ti 0.875 0.964 0.589
S 0.000 0.000 0.000
S 0.750 0.250 0.500
I 0.250 0.750 0.500
I 0.500 0.500 0.000

Density functional theory data (PBE) for a relaxed structure of TiV2SI.

Summary:
- spin magnetization (μB/atom) = 0.0000
- density (g/cm3) = 4.5
- formation energy without anion corrections (eV per atom) = 1.5647

a b c (Å): 4.766 4.766 5.034
angles (deg): 90.00 90.00 90.00
Fractional coordinates of all 5 atoms:
Ti 0.000 0.000 0.000
V 0.000 0.500 0.500
V 0.500 0.000 0.500
S 0.500 0.500 0.000
I 0.000 0.000 0.500

Density functional theory data (PBE) for a relaxed structure of Tl11S5I.

Summary:
- spin magnetization (μB/atom) = 0.0000
- density (g/cm3) = 7.3
- formation energy without anion corrections (eV per atom) = -0.3149

a b c (Å): 9.613 9.613 7.279
angles (deg): 101.06 101.06 114.20
Fractional coordinates of all 17 atoms:
Tl 0.000 0.000 0.000
Tl 0.150 0.718 0.223
Tl 0.181 0.428 0.548
Tl 0.282 0.850 0.777
Tl 0.355 0.355 0.068
Tl 0.428 0.181 0.548
Tl 0.572 0.819 0.452
Tl 0.645 0.645 0.932
Tl 0.718 0.150 0.223
Tl 0.819 0.572 0.452
Tl 0.850 0.282 0.777
S 0.066 0.364 0.143
S 0.364 0.066 0.143
S 0.500 0.500 0.500
S 0.636 0.934 0.857
S 0.934 0.636 0.857
I 0.000 0.000 0.500

Density functional theory data (PBE) for a relaxed structure of Tl2SI.

Summary:
- spin magnetization (μB/atom) = 0.0000
- offset from the most stable computed form (meV/atom) = 127
- density (g/cm3) = 6.3
- formation energy without anion corrections (eV per atom) = -0.2648

a b c (Å): 7.325 7.325 7.325
angles (deg): 112.79 112.79 103.03
Fractional coordinates of all 8 atoms:
Tl 0.071 0.625 0.946
Tl 0.375 0.321 0.446
Tl 0.679 0.125 0.054
Tl 0.875 0.929 0.554
S 0.000 0.000 0.000
S 0.750 0.250 0.500
I 0.250 0.750 0.500
I 0.500 0.500 0.000

Density functional theory data (PBE) for a relaxed structure of Tl12S3I5.

Summary:
- spin magnetization (μB/atom) = 0.0000
- density (g/cm3) = 5.4
- formation energy without anion corrections (eV per atom) = -0.3190

a b c (Å): 17.149 17.149 17.149
angles (deg): 109.47 109.47 109.47
Fractional coordinates of all 80 atoms:
Tl 0.036 0.720 0.652
Tl 0.036 0.816 0.384
Tl 0.068 0.220 0.184
Tl 0.068 0.348 0.884
Tl 0.116 0.684 0.464
Tl 0.116 0.932 0.652
Tl 0.152 0.220 0.536
Tl 0.152 0.432 0.616
Tl 0.184 0.068 0.220
Tl 0.184 0.616 0.964
Tl 0.220 0.184 0.068
Tl 0.220 0.536 0.152
Tl 0.280 0.348 0.964
Tl 0.280 0.432 0.316
Tl 0.316 0.280 0.432
Tl 0.316 0.536 0.884
Tl 0.348 0.884 0.068
Tl 0.348 0.964 0.280
Tl 0.384 0.036 0.816
Tl 0.384 0.848 0.568
Tl 0.432 0.316 0.280
Tl 0.432 0.616 0.152
Tl 0.464 0.116 0.684
Tl 0.464 0.848 0.780
Tl 0.536 0.152 0.220
Tl 0.536 0.884 0.316
Tl 0.568 0.384 0.848
Tl 0.568 0.684 0.720
Tl 0.616 0.152 0.432
Tl 0.616 0.964 0.184
Tl 0.652 0.036 0.720
Tl 0.652 0.116 0.932
Tl 0.684 0.464 0.116
Tl 0.684 0.720 0.568
Tl 0.720 0.568 0.684
Tl 0.720 0.652 0.036
Tl 0.780 0.464 0.848
Tl 0.780 0.816 0.932
Tl 0.816 0.384 0.036
Tl 0.816 0.932 0.780
Tl 0.848 0.568 0.384
Tl 0.848 0.780 0.464
Tl 0.884 0.068 0.348
Tl 0.884 0.316 0.536
Tl 0.932 0.652 0.116
Tl 0.932 0.780 0.816
Tl 0.964 0.184 0.616
Tl 0.964 0.280 0.348
S 0.125 0.250 0.375
S 0.125 0.375 0.750
S 0.250 0.375 0.125
S 0.250 0.875 0.625
S 0.375 0.125 0.250
S 0.375 0.750 0.125
S 0.625 0.250 0.875
S 0.625 0.875 0.750
S 0.750 0.125 0.375
S 0.750 0.625 0.875
S 0.875 0.625 0.250
S 0.875 0.750 0.625
I 0.000 0.000 0.000
I 0.000 0.000 0.500
I 0.000 0.500 0.000
I 0.000 0.500 0.500
I 0.125 0.750 0.875
I 0.125 0.875 0.250
I 0.250 0.125 0.875
I 0.250 0.625 0.375
I 0.375 0.250 0.625
I 0.375 0.625 0.750
I 0.500 0.000 0.000
I 0.500 0.000 0.500
I 0.500 0.500 0.000
I 0.500 0.500 0.500
I 0.625 0.375 0.250
I 0.625 0.750 0.375
I 0.750 0.375 0.625
I 0.750 0.875 0.125
I 0.875 0.125 0.750
I 0.875 0.250 0.125

Density functional theory data (PBE) for a relaxed structure of Tl2SI.

Summary:
- spin magnetization (μB/atom) = 0.0000
- offset from the most stable computed form (meV/atom) = 0
- density (g/cm3) = 6.6
- formation energy without anion corrections (eV per atom) = -0.3914

a b c (Å): 4.629 5.356 11.581
angles (deg): 90.00 90.05 90.00
Fractional coordinates of all 8 atoms:
Tl 0.000 0.000 0.000
Tl 0.005 0.500 0.716
Tl 0.498 0.500 0.289
Tl 0.504 0.000 0.573
S 0.003 0.000 0.734
S 0.503 0.500 0.556
I 0.501 0.500 0.969
I 0.999 0.000 0.320

Density functional theory data (PBE) for a relaxed structure of Tl4S2I.

Summary:
- spin magnetization (μB/atom) = 0.0000
- density (g/cm3) = 7.1
- formation energy without anion corrections (eV per atom) = -0.3383

a b c (Å): 8.046 8.046 13.375
angles (deg): 90.00 90.00 147.01
Fractional coordinates of all 14 atoms:
Tl 0.000 0.000 0.000
Tl 0.000 0.000 0.500
Tl 0.259 0.741 0.622
Tl 0.259 0.741 0.878
Tl 0.419 0.581 0.250
Tl 0.581 0.419 0.750
Tl 0.741 0.259 0.122
Tl 0.741 0.259 0.378
S 0.355 0.645 0.053
S 0.355 0.645 0.447
S 0.645 0.355 0.553
S 0.645 0.355 0.947
I 0.075 0.925 0.250
I 0.925 0.075 0.750

Density functional theory data (PBE) for a relaxed structure of Tl2SI2.

Summary:
- spin magnetization (μB/atom) = 0.0000
- density (g/cm3) = 2.7
- formation energy without anion corrections (eV per atom) = 0.0186

a b c (Å): 5.532 5.532 13.983
angles (deg): 90.00 90.00 90.00
Fractional coordinates of all 5 atoms:
Tl 0.000 0.000 0.180
Tl 0.000 0.000 0.820
S 0.000 0.000 0.000
I 0.000 0.000 0.388
I 0.000 0.000 0.612

Density functional theory data (PBE) for a relaxed structure of Tl2SI.

Summary:
- spin magnetization (μB/atom) = 0.0000
- offset from the most stable computed form (meV/atom) = 258
- density (g/cm3) = 7.7
- formation energy without anion corrections (eV per atom) = -0.1338

a b c (Å): 5.563 5.563 5.563
angles (deg): 60.00 60.00 60.00
Fractional coordinates of all 4 atoms:
Tl 0.250 0.250 0.250
Tl 0.750 0.750 0.750
S 0.000 0.000 0.000
I 0.500 0.500 0.500

Density functional theory data (PBE) for a relaxed structure of TlSI3.

Summary:
- spin magnetization (μB/atom) = 0.0000
- offset from the most stable computed form (meV/atom) = 0
- density (g/cm3) = 5.6
- formation energy without anion corrections (eV per atom) = -0.0895

a b c (Å): 5.666 5.666 5.666
angles (deg): 90.00 90.00 90.00
Fractional coordinates of all 5 atoms:
Tl 0.000 0.000 0.000
S 0.500 0.500 0.500
I 0.000 0.500 0.500
I 0.500 0.000 0.500
I 0.500 0.500 0.000